An optimized crystal structure of Ta3TiNb, computed with GGA-PBE.

Cell lengths 4.649, 5.753, 7.188 Å; angles 97.72, 108.87, 90.00 degrees
Sites, in units of the cell vectors:
Ta 0.999 0.253 0.997
Ta 0.001 0.747 0.003
Nb 0.801 0.842 0.602
Ti 0.402 0.547 0.803
Nb 0.199 0.158 0.398
Ta 0.400 0.051 0.799
Ta 0.799 0.347 0.598
Ta 0.201 0.653 0.402
Ta 0.600 0.949 0.201
Ti 0.598 0.453 0.197

Summary:
VASP energy = -106.83 eV/cell
Relative energy among the computed polymorphs = 0.000 eV per atom
Energy of formation from the pure elements = 0.02 eV per atom
Crystal system = monoclinic

An optimized crystal structure of TlFeSi, computed with GGA-PBE.

Cell lengths 5.744, 5.744, 3.157 Å; angles 74.04, 74.05, 31.90 degrees
Sites, in units of the cell vectors:
Tl 0.663 0.663 0.337
Fe 0.953 0.953 0.047
Si 0.384 0.384 0.616

Summary:
VASP energy = -15.28 eV/cell
Relative energy among the computed polymorphs = 0.000 eV per atom
Crystal system = tetragonal

An optimized crystal structure of CaSb2Mo, computed with GGA-PBE.

Cell lengths 4.686, 4.686, 6.288 Å; angles 75.67, 75.67, 47.65 degrees
Sites, in units of the cell vectors:
Sb 0.985 0.985 0.059
Mo 0.250 0.250 0.250
Sb 0.515 0.515 0.441
Ca 0.750 0.750 0.750

Summary:
VASP energy = -21.61 eV/cell
Relative energy among the computed polymorphs = 0.110 eV per atom
Crystal system = monoclinic

An optimized crystal structure of NaSrCoH6, computed with GGA-PBE.

Cell lengths 4.891, 4.889, 4.456 Å; angles 89.95, 89.99, 59.99 degrees
Sites, in units of the cell vectors:
Na 0.667 0.667 0.357
Sr 0.000 0.000 0.846
H 0.181 0.181 0.342
H 0.039 0.481 0.744
H 0.481 0.481 0.744
H 0.481 0.038 0.744
H 0.638 0.181 0.342
Co 0.333 0.333 0.539
H 0.181 0.638 0.342

Summary:
VASP energy = -33.23 eV/cell
Crystal system = trigonal

An optimized crystal structure of NbCd3C, computed with GGA-PBE.

Cell lengths 5.564, 5.564, 5.564 Å; angles 90.00, 90.00, 90.00 degrees
Sites, in units of the cell vectors:
Nb 0.000 0.000 0.000
Cd 0.500 0.000 0.000
Cd 0.000 0.000 0.500
C 0.500 0.500 0.500
Cd 0.000 0.500 0.000

Summary:
VASP energy = -10.25 eV/cell
Relative energy among the computed polymorphs = 1.113 eV per atom
Energy of formation from the pure elements = 2.36 eV per atom
Crystal system = cubic

An optimized crystal structure of Hf2TiPPb, computed with GGA-PBE.

Cell lengths 4.775, 5.365, 4.775 Å; angles 90.00, 90.00, 90.00 degrees
Sites, in units of the cell vectors:
Hf 0.500 0.000 0.000
Pb 0.000 0.500 0.000
Hf 0.000 0.000 0.500
P 0.000 0.000 0.000
Ti 0.500 0.500 0.500

Summary:
VASP energy = -35.26 eV/cell
Energy of formation from the pure elements = 0.33 eV per atom
Crystal system = tetragonal

An optimized crystal structure of LaTi2NiW, computed with GGA-PBE.

Cell lengths 4.795, 4.394, 4.795 Å; angles 90.00, 90.00, 90.00 degrees
Sites, in units of the cell vectors:
Ni 0.000 0.500 0.000
Ti 0.500 0.000 0.000
Ti 0.000 0.000 0.500
W 0.500 0.500 0.500
La 0.000 0.000 0.000

Summary:
VASP energy = -30.51 eV/cell
Energy of formation from the pure elements = 1.79 eV per atom
Crystal system = tetragonal

An optimized crystal structure of HoSc3Ru, computed with GGA-PBE.

Cell lengths 5.043, 5.043, 5.043 Å; angles 90.00, 90.00, 90.00 degrees
Sites, in units of the cell vectors:
Sc 0.000 0.500 0.000
Ru 0.000 0.000 0.000
Ho 0.500 0.500 0.500
Sc 0.500 0.000 0.000
Sc 0.000 0.000 0.500

Summary:
VASP energy = -33.45 eV/cell
Relative energy among the computed polymorphs = 0.078 eV per atom
Energy of formation from the pure elements = -0.12 eV per atom
Crystal system = cubic

An optimized crystal structure of CsGa2N2, computed with GGA-PBE.

Cell lengths 3.962, 3.962, 6.972 Å; angles 73.49, 73.49, 90.00 degrees
Sites, in units of the cell vectors:
Ga 0.750 0.250 0.500
Ga 0.250 0.750 0.500
N 0.304 0.304 0.392
Cs 0.000 0.000 0.000
N 0.696 0.696 0.608

Summary:
VASP energy = -22.72 eV/cell
Relative energy among the computed polymorphs = 0.000 eV per atom
Crystal system = tetragonal

An optimized crystal structure of CrIr2, computed with GGA-PBE.

Cell lengths 7.222, 7.222, 2.716 Å; angles 90.00, 90.00, 120.00 degrees
Sites, in units of the cell vectors:
Cr 0.333 0.667 0.000
Ir 0.299 0.000 0.000
Ir 0.362 0.362 0.500
Cr 0.000 0.000 0.500
Ir 0.000 0.299 0.000
Ir 0.701 0.701 0.000
Ir 0.638 0.000 0.500
Ir 0.000 0.638 0.500
Cr 0.667 0.333 0.000

Summary:
VASP energy = -83.47 eV/cell
Energy of formation from the pure elements = -0.16 eV per atom
Crystal system = hexagonal

An optimized crystal structure of TlInMo2, computed with GGA-PBE.

Cell lengths 5.159, 5.159, 5.159 Å; angles 131.77, 131.77, 70.59 degrees
Sites, in units of the cell vectors:
Mo 0.000 0.000 0.000
In 0.750 0.250 0.500
Tl 0.500 0.500 0.000
Mo 0.250 0.750 0.500

Summary:
VASP energy = -24.09 eV/cell
Relative energy among the computed polymorphs = 0.343 eV per atom
Energy of formation from the pure elements = 0.67 eV per atom
Crystal system = tetragonal

An optimized crystal structure of Pm2ScSn9, computed with GGA-PBE.

Cell lengths 4.807, 4.807, 13.619 Å; angles 90.00, 90.00, 90.00 degrees
Sites, in units of the cell vectors:
Sn 0.000 0.500 0.157
Sn 0.000 0.500 0.843
Sn 0.500 0.000 0.843
Pm 0.000 0.000 0.330
Sn 0.500 0.500 0.000
Sn 0.500 0.000 0.157
Sc 0.000 0.000 0.000
Sn 0.500 0.500 0.329
Pm 0.000 0.000 0.670
Sn 0.000 0.500 0.500
Sn 0.500 0.000 0.500
Sn 0.500 0.500 0.671

Summary:
VASP energy = -56.86 eV/cell
Energy of formation from the pure elements = -0.42 eV per atom
Crystal system = tetragonal

An optimized crystal structure of TiBiC2, computed with GGA-PBE.

Cell lengths 5.156, 5.156, 6.233 Å; angles 65.57, 65.57, 90.00 degrees
Sites, in units of the cell vectors:
C 0.180 0.625 0.250
C 0.375 0.430 0.750
Bi 0.750 0.250 0.500
Bi 0.000 0.000 0.000
Ti 0.250 0.750 0.500
C 0.570 0.125 0.250
C 0.875 0.820 0.750
Ti 0.500 0.500 0.000

Summary:
VASP energy = -54.18 eV/cell
Energy of formation from the pure elements = 0.78 eV per atom
Crystal system = tetragonal

An optimized crystal structure of CaNb2Al2, computed with GGA-PBE.

Cell lengths 7.772, 7.772, 3.242 Å; angles 90.00, 90.00, 90.00 degrees
Sites, in units of the cell vectors:
Nb 0.829 0.329 0.500
Al 0.879 0.621 0.000
Al 0.379 0.879 0.000
Ca 0.000 0.000 0.000
Nb 0.329 0.171 0.500
Nb 0.171 0.671 0.500
Nb 0.671 0.829 0.500
Ca 0.500 0.500 0.000
Al 0.121 0.379 0.000
Al 0.621 0.121 0.000

Summary:
VASP energy = -59.04 eV/cell
Relative energy among the computed polymorphs = 0.116 eV per atom
Energy of formation from the pure elements = 0.02 eV per atom
Crystal system = tetragonal

An optimized crystal structure of NaTlN2O, computed with GGA-PBE.

Cell lengths 4.485, 4.485, 4.414 Å; angles 90.00, 90.00, 90.00 degrees
Sites, in units of the cell vectors:
N 0.500 0.000 0.000
N 0.000 0.500 0.000
Na 0.500 0.500 0.500
O 0.000 0.000 0.500
Tl 0.000 0.000 0.000

Summary:
VASP energy = -19.19 eV/cell
Crystal system = tetragonal

An optimized crystal structure of Tb4Er2Al, computed with GGA-PBE.

Cell lengths 3.598, 3.598, 18.942 Å; angles 84.55, 84.55, 60.00 degrees
Sites, in units of the cell vectors:
Al 0.000 0.000 0.000
Tb 0.293 0.293 0.120
Tb 0.908 0.908 0.277
Er 0.809 0.809 0.574
Er 0.191 0.191 0.426
Tb 0.092 0.092 0.723
Tb 0.707 0.707 0.880

Summary:
VASP energy = -31.64 eV/cell
Energy of formation from the pure elements = -0.04 eV per atom
Crystal system = trigonal

An optimized crystal structure of Cr2TcMo, computed with GGA-PBE.

Cell lengths 2.983, 2.983, 6.063 Å; angles 90.00, 90.00, 90.00 degrees
Sites, in units of the cell vectors:
Cr 0.000 0.000 0.011
Tc 0.500 0.500 0.766
Mo 0.000 0.000 0.484
Cr 0.500 0.500 0.239

Summary:
VASP energy = -40.21 eV/cell
Relative energy among the computed polymorphs = 0.002 eV per atom
Energy of formation from the pure elements = 0.06 eV per atom
Crystal system = tetragonal

An optimized crystal structure of NiH2Ru, computed with GGA-PBE.

Cell lengths 2.751, 2.751, 5.006 Å; angles 74.05, 74.05, 60.00 degrees
Sites, in units of the cell vectors:
Ni 0.489 0.489 0.534
Ru 0.669 0.669 0.994
H 0.259 0.259 0.222
H 0.084 0.084 0.749

Summary:
VASP energy = -21.06 eV/cell
Relative energy among the computed polymorphs = 0.018 eV per atom
Crystal system = trigonal

An optimized crystal structure of Pr7DyY12, computed with GGA-PBE.

Cell lengths 9.858, 9.858, 9.858 Å; angles 109.47, 109.47, 109.47 degrees
Sites, in units of the cell vectors:
Y 0.753 0.000 0.247
Pr 0.500 0.500 0.500
Pr 0.000 0.000 0.500
Pr 0.500 0.000 0.500
Y 0.247 0.247 0.494
Y 0.247 0.753 0.000
Pr 0.000 0.500 0.500
Y 0.247 0.000 0.753
Y 0.753 0.753 0.506
Pr 0.000 0.500 0.000
Y 0.753 0.247 0.000
Y 0.000 0.753 0.247
Y 0.494 0.247 0.247
Y 0.000 0.247 0.753
Y 0.247 0.494 0.247
Y 0.506 0.753 0.753
Pr 0.500 0.500 0.000
Pr 0.500 0.000 0.000
Y 0.753 0.506 0.753
Dy 0.000 0.000 0.000

Summary:
VASP energy = -103.22 eV/cell
Relative energy among the computed polymorphs = 0.394 eV per atom
Energy of formation from the pure elements = 0.62 eV per atom
Crystal system = cubic

An optimized crystal structure of Ba3In2Hg4Sb2, computed with GGA-PBE.

Cell lengths 5.502, 5.502, 14.690 Å; angles 100.79, 100.79, 90.00 degrees
Sites, in units of the cell vectors:
Hg 0.423 0.923 0.846
In 0.592 0.592 0.184
Ba 0.000 0.000 0.000
Sb 0.308 0.308 0.616
Sb 0.692 0.692 0.384
Hg 0.077 0.577 0.154
In 0.408 0.408 0.816
Hg 0.923 0.423 0.846
Ba 0.812 0.812 0.623
Ba 0.188 0.188 0.377
Hg 0.577 0.077 0.154

Summary:
VASP energy = -24.67 eV/cell
Crystal system = tetragonal

An optimized crystal structure of RbAs2IO8, computed with GGA-PBE.

Cell lengths 5.175, 5.175, 8.828 Å; angles 86.19, 86.19, 66.08 degrees
Sites, in units of the cell vectors:
O 0.738 0.240 0.823
O 0.761 0.761 0.038
O 0.760 0.262 0.177
As 0.630 0.630 0.200
Rb 0.000 0.000 0.500
O 0.307 0.307 0.627
O 0.693 0.693 0.373
As 0.370 0.370 0.800
O 0.239 0.239 0.962
O 0.262 0.760 0.177
I 0.000 0.000 0.000
O 0.240 0.738 0.823

Summary:
VASP energy = -63.18 eV/cell
Crystal system = monoclinic

An optimized crystal structure of Sm2TiHg, computed with GGA-PBE.

Cell lengths 3.497, 3.497, 8.577 Å; angles 90.00, 90.00, 90.00 degrees
Sites, in units of the cell vectors:
Sm 0.000 0.000 0.245
Ti 0.500 0.500 0.000
Sm 0.000 0.000 0.755
Hg 0.500 0.500 0.500

Summary:
VASP energy = -17.88 eV/cell
Relative energy among the computed polymorphs = 0.000 eV per atom
Energy of formation from the pure elements = -0.06 eV per atom
Crystal system = tetragonal

An optimized crystal structure of ScCuGe, computed with GGA-PBE.

Cell lengths 3.266, 4.187, 4.187 Å; angles 120.00, 90.00, 90.00 degrees
Sites, in units of the cell vectors:
Ge 0.166 0.333 0.667
Cu 0.168 0.000 0.000
Sc 0.666 0.667 0.333

Summary:
VASP energy = -16.81 eV/cell
Energy of formation from the pure elements = -0.59 eV per atom
Crystal system = hexagonal

An optimized crystal structure of HfHgRh3, computed with GGA-PBE.

Cell lengths 4.776, 4.776, 4.776 Å; angles 90.00, 90.00, 90.00 degrees
Sites, in units of the cell vectors:
Rh 0.000 0.500 0.000
Rh 0.000 0.000 0.500
Rh 0.500 0.000 0.000
Hf 0.000 0.000 0.000
Hg 0.500 0.500 0.500

Summary:
VASP energy = -28.86 eV/cell
Relative energy among the computed polymorphs = 0.000 eV per atom
Energy of formation from the pure elements = 0.69 eV per atom
Crystal system = cubic

An optimized crystal structure of Pr4Dy2Ho5, computed with GGA-PBE.

Cell lengths 3.514, 9.287, 12.541 Å; angles 111.73, 98.05, 90.00 degrees
Sites, in units of the cell vectors:
Pr 0.596 0.596 0.193
Pr 0.404 0.404 0.807
Ho 0.500 0.000 0.000
Ho 0.852 0.653 0.703
Dy 0.730 0.730 0.460
Ho 0.852 0.050 0.703
Ho 0.148 0.950 0.297
Pr 0.000 0.292 0.000
Pr 0.000 0.708 0.000
Ho 0.148 0.347 0.297
Dy 0.270 0.270 0.540

Summary:
VASP energy = -48.03 eV/cell
Relative energy among the computed polymorphs = 0.182 eV per atom
Energy of formation from the pure elements = 0.29 eV per atom
Crystal system = orthorhombic

An optimized crystal structure of Th2Hg2Rh3, computed with GGA-PBE.

Cell lengths 4.196, 5.400, 8.197 Å; angles 104.91, 104.76, 112.97 degrees
Sites, in units of the cell vectors:
Hg 0.694 0.820 0.567
Rh 0.000 0.000 0.000
Hg 0.306 0.180 0.433
Rh 0.525 0.845 0.206
Th 0.806 0.430 0.181
Rh 0.475 0.155 0.794
Th 0.194 0.570 0.819

Summary:
VASP energy = -42.01 eV/cell
Energy of formation from the pure elements = -0.64 eV per atom
Crystal system = triclinic